(1)
Here is crystalline KSrBrCl2 at its relaxed geometry from Alexandria. Energies are from PBE.

POSCAR file:
```
KSrBrCl2
1.0
5.6629 0.0000 0.0000
0.0000 5.6629 0.0000
0.0000 0.0000 6.0312
K Sr Br Cl
1 1 1 2
Cartesian
0.0000 0.0000 0.0000 K
2.8315 2.8315 3.0156 Sr
2.8315 2.8315 0.0000 Br
0.0000 2.8315 3.0156 Cl
2.8315 0.0000 3.0156 Cl
```

The value obtained for the total DFT energy (no corrections) is -0.2736 Ry per atom. The crystal system is tetragonal.



(2)
Here is crystalline K2SrBr2Cl2 at its relaxed geometry from Alexandria. Energies are from PBE.

POSCAR file:
```
K2SrBr2Cl2
1.0
7.0928 -2.1509 0.0000
7.0928 2.1509 0.0000
-4.7322 0.0000 7.9490
K Sr Br Cl
2 1 2 2
Cartesian
1.1818 0.0000 1.5411 K
8.2715 0.0000 6.4079 K
4.7267 0.0000 3.9745 Sr
5.5709 0.0000 1.0855 Br
3.8824 0.0000 6.8635 Br
-0.4341 0.0000 4.5122 Cl
9.8874 0.0000 3.4368 Cl
```

The value obtained for the total DFT energy (no corrections) is -0.2635 Ry per atom. The crystal system is monoclinic.



(3)
Here is crystalline K2TaBr2Cl4 at its relaxed geometry from Alexandria. Energies are from PBE.

POSCAR file:
```
K2TaBr2Cl4
1.0
6.4020 -3.5885 0.0000
6.4020 3.5885 0.0000
-3.9872 0.0000 6.1199
K Ta Br Cl
2 1 2 4
Cartesian
2.2766 0.0000 1.3525 K
6.5401 0.0000 4.7675 K
6.4020 0.0000 0.0000 Ta
0.5665 0.0000 4.2829 Br
8.2502 0.0000 1.8370 Br
5.1855 1.7036 1.2059 Cl
3.6312 1.7036 4.9140 Cl
5.1855 -1.7036 1.2059 Cl
3.6312 -1.7036 4.9140 Cl
```

The value obtained for the total DFT energy (no corrections) is -0.3120 Ry per atom. The crystal system is monoclinic.



(4)
Here is crystalline K2TaBr4Cl2 at its relaxed geometry from Alexandria. Energies are from PBE.

POSCAR file:
```
K2TaBr4Cl2
1.0
6.2789 -3.8278 0.0000
6.2789 3.8278 0.0000
-4.6726 0.0000 6.0888
K Ta Br Cl
2 1 4 2
Cartesian
1.9097 0.0000 1.5864 K
5.9755 0.0000 4.5024 K
-2.3363 0.0000 3.0444 Ta
4.7851 1.9929 1.4007 Br
3.1002 1.9929 4.6881 Br
4.7851 -1.9929 1.4007 Br
3.1002 -1.9929 4.6881 Br
-0.2006 0.0000 4.1203 Cl
8.0859 0.0000 1.9685 Cl
```

The value obtained for the total DFT energy (no corrections) is -0.3008 Ry per atom. The crystal system is monoclinic.



(5)
Here is crystalline KTcBr6Cl at its relaxed geometry from Alexandria. Energies are from PBE.

POSCAR file:
```
KTcBr6Cl
1.0
6.9742 0.0000 0.0000
2.9071 6.8420 0.0000
0.1263 2.9767 7.0692
K Tc Br Cl
1 1 6 1
Cartesian
0.0000 0.0000 0.0000 K
4.3942 5.2539 3.9515 Tc
2.4053 4.7053 2.5864 Br
3.2319 7.0880 5.1024 Br
5.4022 6.6632 2.1564 Br
3.8362 3.5713 5.7609 Br
5.5763 3.0990 3.0535 Br
6.6038 5.8401 5.2297 Br
6.0146 3.0683 0.6696 Cl
```

The value obtained for the total DFT energy (no corrections) is -0.2339 Ry per atom. The crystal system is triclinic.



(6)
Here is crystalline K2TcBr4Cl2 at its relaxed geometry from Alexandria. Energies are from PBE.

POSCAR file:
```
K2TcBr4Cl2
1.0
6.3277 -3.7214 0.0000
6.3277 3.7214 0.0000
-4.4855 0.0000 6.0607
K Tc Br Cl
2 1 4 2
Cartesian
2.1009 0.0000 1.4157 K
6.0689 0.0000 4.6450 K
-2.2427 0.0000 3.0304 Tc
2.7810 1.9303 4.2751 Br
5.3889 1.9303 1.7856 Br
2.7810 -1.9303 4.2751 Br
5.3889 -1.9303 1.7856 Br
-0.6131 0.0000 4.7562 Cl
8.7829 0.0000 1.3045 Cl
```

The value obtained for the total DFT energy (no corrections) is -0.2706 Ry per atom. The crystal system is monoclinic.



Number 1: raw formation energy -2.09 eV per atom. Number 2: raw formation energy -2.03 eV per atom. Number 3: raw formation energy -1.49 eV per atom. Number 4: raw formation energy -1.38 eV per atom. Number 5: raw formation energy -0.59 eV per atom. Number 6: raw formation energy -1.13 eV per atom.